[1]
Entry from the Alexandria database: a relaxed structure of Ho3U2Ru6 (PBE).

Results
- volume (Å³/cell) = 431.65
- N(E_F) (states/eV per cell) = 27.23
- crystal system = cubic
- magnetization (μB per atom) = 0.065

Unit cell a=8.2461 b=8.2461 c=8.2461 alpha=109.47 beta=109.47 gamma=109.47
Last column: magnetic moment on the atom in μB.
Atoms (fractional coordinates):
Ho 0.7118 0.0000 0.7118  0.01
Ho 0.2882 0.0000 0.2882  0.01
Ho 0.0000 0.2882 0.2882  0.01
Ho 0.0000 0.7118 0.7118  0.01
Ho 0.2882 0.2882 0.0000  0.01
Ho 0.7118 0.7118 0.0000  0.01
U 0.0000 0.5000 0.0000  0.46
U 0.5000 0.0000 0.0000  0.46
U 0.0000 0.0000 0.5000  0.46
U 0.5000 0.5000 0.5000  0.46
Ru 0.6535 0.3070 0.6535  -0.05
Ru 0.6535 0.0000 0.3465  -0.05
Ru 0.3465 0.0000 0.6535  -0.05
Ru 0.3465 0.6930 0.3465  -0.05
Ru 0.0000 0.6535 0.3465  -0.05
Ru 0.6930 0.3465 0.3465  -0.05
Ru 0.3070 0.6535 0.6535  -0.05
Ru 0.0000 0.3465 0.6535  -0.05
Ru 0.3465 0.6535 0.0000  -0.05
Ru 0.6535 0.6535 0.3070  -0.05
Ru 0.3465 0.3465 0.6930  -0.05
Ru 0.6535 0.3465 0.0000  -0.05

---

[2]
Entry from the Alexandria database: a relaxed structure of HoU2Ru3 (PBE).

Results
- volume (Å³/cell) = 235.36
- N(E_F) (states/eV per cell) = 15.86
- crystal system = triclinic
- magnetization (μB per atom) = 0.000

Unit cell a=6.9073 b=5.9500 c=6.7527 alpha=108.96 beta=73.86 gamma=114.58
Atoms (fractional coordinates):
Ho 0.0880 0.0013 0.2072
Ho 0.9120 0.9987 0.7928
U 0.2669 0.6901 0.4447
U 0.3845 0.5593 0.9131
U 0.6155 0.4407 0.0869
U 0.7331 0.3099 0.5553
Ru 0.4296 0.0392 0.8174
Ru 0.5704 0.9608 0.1826
Ru 0.0216 0.5430 0.7853
Ru 0.3409 0.2661 0.5429
Ru 0.6591 0.7339 0.4571
Ru 0.9784 0.4570 0.2147

---

Which energy of formation from the pure elements belongs to each record? In order, -0.34 -0.33 eV per atom.